Record 1
Here is a relaxed Zr6TlFe crystal from Alexandria. Energies are from PBE.

Results
VASP energy = -0.2855 Ha/atom
D(E_F) = 0.804 states/eV per atom
Energy of formation = -0.0040 eV per atom

Cell: 5.7121 5.7121 5.8000 Å, 95.55 95.55 113.37°
With the nearest neighbours (Å) after each atom.
Element x y z (fractional)
Zr (0.0855, 0.6598, 0.7451)  1 Fe 2.68
Zr (0.2440, 0.2440, 0.9098)  1 Fe 2.59
Zr (0.3402, 0.9145, 0.2549)  1 Fe 2.68
Zr (0.6598, 0.0855, 0.7451)  1 Fe 2.68
Zr (0.7560, 0.7560, 0.0902)  1 Fe 2.59
Zr (0.9145, 0.3402, 0.2549)  1 Fe 2.68
Tl (0.5000, 0.5000, 0.5000)  10 Zr 3.09-3.25, 2 Fe 3.14
Fe (0.0000, 0.0000, 0.5000)  6 Zr 2.59-2.68

Record 2
Here is a relaxed Zr2TlFe crystal from Alexandria. Energies are from PBE.

Results
VASP energy = -0.2462 Ha/atom
D(E_F) = 0.881 states/eV per atom
Energy of formation = 0.2819 eV per atom

Cell: 6.0829 6.0829 6.0829 Å, 102.94 102.94 123.52°
With the nearest neighbours (Å) after each atom.
Element x y z (fractional)
Zr (0.0648, 0.6250, 0.9398)  2 Fe 2.49
Zr (0.3750, 0.3148, 0.4398)  2 Fe 2.49
Zr (0.6852, 0.1250, 0.0602)  2 Fe 2.49
Zr (0.8750, 0.9352, 0.5602)  2 Fe 2.49
Tl (0.2500, 0.7500, 0.5000)  2 Fe 2.88, 8 Zr 3.10-3.21
Tl (0.5000, 0.5000, 0.0000)  2 Fe 2.88, 8 Zr 3.10-3.21
Fe (0.0000, 0.0000, 0.0000)  4 Zr 2.49
Fe (0.7500, 0.2500, 0.5000)  4 Zr 2.49

Record 3
Here is a relaxed Zr2TlFe crystal from Alexandria. Energies are from PBE.

Results
VASP energy = -0.2478 Ha/atom
D(E_F) = 0.939 states/eV per atom
Energy of formation = 0.2375 eV per atom

Cell: 9.3199 9.3199 9.3199 Å, 20.17 20.17 20.17°
With the nearest neighbours (Å) after each atom.
Element x y z (fractional)
Zr (0.0000, 0.0000, 0.0000)  9 Zr 3.14-3.26, 3 Tl 3.20
Zr (0.2416, 0.2416, 0.2416)  3 Fe 2.66
Tl (0.7612, 0.7612, 0.7612)  3 Fe 2.85
Fe (0.5062, 0.5062, 0.5062)  3 Zr 2.66, 3 Tl 2.85

Q: Look up the VASP energy of the first one.
A: -0.2855 Ha/atom